Ba3Be: optimized geometry, PBE-GGA.

CIF file:
```
data_Ba3Be
_chemical_formula_sum 'Ba3 Be1'
_symmetry_space_group_name_H-M 'P 1'
_symmetry_Int_Tables_number 1
_cell_length_a 4.114
_cell_length_b 4.114
_cell_length_c 10.875
_cell_angle_alpha 90.00
_cell_angle_beta 90.00
_cell_angle_gamma 90.04
loop_
_symmetry_equiv_pos_as_xyz
'x,y,z'
loop_
_atom_site_label
_atom_site_fract_x
_atom_site_fract_y
_atom_site_fract_z
Ba1 0.000 0.000 0.081
Be1 0.500 0.500 0.250
Ba2 0.000 0.000 0.419
Ba3 0.500 0.500 0.750
```

- Space-group type: P4/mmm
- Volume: 46.02 A^3/atom
- Total energy: -2.073 eV per atom
- Size of the total moment: 0.001 μB/f.u.
- Energy relative to the elements: 300 meV per atom



Ba3Be: optimized geometry, PBE-GGA.

CIF file:
```
data_Ba3Be
_chemical_formula_sum 'Ba6 Be2'
_symmetry_space_group_name_H-M 'P 1'
_symmetry_Int_Tables_number 1
_cell_length_a 9.840
_cell_length_b 9.840
_cell_length_c 4.270
_cell_angle_alpha 90.00
_cell_angle_beta 90.00
_cell_angle_gamma 102.34
loop_
_symmetry_equiv_pos_as_xyz
'x,y,z'
loop_
_atom_site_label
_atom_site_fract_x
_atom_site_fract_y
_atom_site_fract_z
Ba1 0.199 0.447 0.250
Ba2 0.801 0.553 0.750
Be1 0.480 0.520 0.750
Be2 0.520 0.480 0.250
Ba3 0.122 0.878 0.250
Ba4 0.878 0.122 0.750
Ba5 0.447 0.199 0.750
Ba6 0.553 0.801 0.250
```

- Space-group type: Cmcm
- Volume: 50.49 A^3/atom
- Total energy: -2.128 eV per atom
- Size of the total moment: 0.000 μB/f.u.
- Energy relative to the elements: 246 meV per atom



BaBe2: optimized geometry, PBE-GGA.

CIF file:
```
data_BaBe2
_chemical_formula_sum 'Ba2 Be4'
_symmetry_space_group_name_H-M 'P 1'
_symmetry_Int_Tables_number 1
_cell_length_a 5.236
_cell_length_b 5.236
_cell_length_c 6.319
_cell_angle_alpha 90.00
_cell_angle_beta 90.00
_cell_angle_gamma 120.00
loop_
_symmetry_equiv_pos_as_xyz
'x,y,z'
loop_
_atom_site_label
_atom_site_fract_x
_atom_site_fract_y
_atom_site_fract_z
Be1 0.667 0.333 0.250
Be2 0.000 0.000 0.500
Be3 0.333 0.667 0.750
Ba1 0.333 0.667 0.250
Be4 0.000 0.000 0.000
Ba2 0.667 0.333 0.750
```

- Space-group type: P6_3/mmc
- Volume: 25.01 A^3/atom
- Total energy: -2.045 eV per atom
- Size of the total moment: 0.000 μB/f.u.
- Energy relative to the elements: 1081 meV per atom